Record 1
Here is crystalline CaPaTiN4 at its relaxed geometry from Alexandria. Energies are from PBE-GGA.

abc: 5.4923 5.5195 6.6553
angles: 90.00 114.37 90.00
Last column: nearest neighbours and their distance in Å.
Element x y z (fractional)
Ca  0.6035  0.7500  0.2070  1 N 2.27
Ca  0.3965  0.2500  0.7930  1 N 2.27
N  0.5000  0.0000  0.5000  2 Ti 1.95
N  0.0582  0.7500  0.1164  1 Pa 2.08
N  0.5834  0.2500  0.1667  1 Ti 1.91
N  0.5000  0.5000  0.5000  2 Ti 1.95
N  0.0000  0.5000  0.5000  2 Ti 1.95
N  0.9418  0.2500  0.8836  1 Pa 2.08
N  0.4166  0.7500  0.8333  1 Ti 1.91
N  0.0000  0.0000  0.5000  2 Ti 1.95
Ti  0.7407  0.2500  0.4815  5 N 1.91-1.95
Ti  0.2593  0.7500  0.5185  5 N 1.91-1.95
Pa  0.1136  0.2500  0.2272  1 N 2.08
Pa  0.8864  0.7500  0.7728  1 N 2.08

## Properties
formation energy without anion corrections = -761 kJ/mol of formula units
SG = Cmcm (63)

***

Record 2
Here is crystalline Ca2PaTiN4 at its relaxed geometry from Alexandria. Energies are from PBE-GGA.

abc: 3.4092 5.7423 5.8986
angles: 108.09 90.00 90.00
Last column: nearest neighbours and their distance in Å.
Element x y z (fractional)
N  0.0000  0.2456  0.7881  1 Ti 2.16, 2 Pa 2.34
N  0.5000  0.7675  0.7896  1 Pa 2.26, 2 Ti 2.28, 1 Ca 2.47
N  0.5000  0.2325  0.2104  1 Pa 2.26, 2 Ti 2.28, 1 Ca 2.47
N  0.0000  0.7544  0.2119  1 Ti 2.16, 2 Pa 2.34
Ti  0.0000  0.0000  0.0000  6 N 2.16-2.28
Ca  0.0000  0.5000  0.5000  6 N 2.56
Ca  0.5000  0.0000  0.5000  6 N 2.47-2.51
Pa  0.5000  0.5000  0.0000  6 N 2.26-2.34

## Properties
formation energy without anion corrections = -1075 kJ/mol of formula units
SG = P2/m (10)

***

Record 3
Here is crystalline Ca4Pa3TiN8 at its relaxed geometry from Alexandria. Energies are from PBE-GGA.

abc: 6.9210 6.9339 6.9214
angles: 119.94 120.00 90.00
Last column: nearest neighbours and their distance in Å.
Element x y z (fractional)
Ca  0.0000  0.0000  0.5000  6 N 2.55-2.57
Ca  0.5000  0.0000  0.5000  6 N 2.55-2.57
Ca  0.5000  0.0000  0.0000  6 N 2.60
Ca  0.0000  0.0000  0.0000  6 N 2.55-2.57
N  0.7652  0.2883  0.5303  1 Ti 2.31, 2 Pa 2.34, 2 Ca 2.57
N  0.7652  0.2884  0.0231  1 Ti 2.31, 2 Pa 2.34, 2 Ca 2.57
N  0.7401  0.7202  0.4801  3 Pa 2.36, 3 Ca 2.55
N  0.2348  0.7116  0.9769  1 Ti 2.31, 2 Pa 2.34, 2 Ca 2.57
N  0.2348  0.7117  0.4697  1 Ti 2.31, 2 Pa 2.34, 2 Ca 2.57
N  0.2599  0.2798  0.5199  3 Pa 2.36, 3 Ca 2.55
N  0.7421  0.7116  0.9769  1 Ti 2.31, 2 Pa 2.34, 2 Ca 2.57
N  0.2579  0.2884  0.0231  1 Ti 2.31, 2 Pa 2.34, 2 Ca 2.57
Pa  0.0000  0.5000  0.5000  6 N 2.34-2.36
Pa  0.5000  0.5000  0.5000  6 N 2.34-2.36
Pa  0.5000  0.5000  0.0000  6 N 2.34-2.36
Ti  0.0000  0.5000  0.0000  6 N 2.31

## Properties
formation energy without anion corrections = -2178 kJ/mol of formula units
SG = R-3m (166)

***

Record 4
Here is crystalline Ca3Pa2TlN6 at its relaxed geometry from Alexandria. Energies are from PBE-GGA.

abc: 3.6028 7.1461 7.7918
angles: 102.59 103.37 90.00
Last column: nearest neighbours and their distance in Å.
Element x y z (fractional)
Ca  0.1591  0.8358  0.3181  4 N 2.42-2.70
Ca  0.5000  0.5000  0.0000  6 N 2.43-2.63
Ca  0.8409  0.1642  0.6819  4 N 2.42-2.70
Pa  0.8352  0.6736  0.6704  6 N 2.21-2.41
Pa  0.1648  0.3264  0.3296  6 N 2.21-2.41
Tl  0.5000  0.0000  0.0000  6 N 2.65-2.67
N  0.3217  0.8757  0.6434  2 Pa 2.35, 1 Ca 2.42
N  0.6773  0.5549  0.3546  3 Pa 2.35-2.41, 1 Ca 2.63
N  0.0157  0.2815  0.0314  1 Pa 2.21, 2 Ca 2.43
N  0.3227  0.4451  0.6454  3 Pa 2.35-2.41, 1 Ca 2.63
N  0.6783  0.1243  0.3566  2 Pa 2.35, 1 Ca 2.42
N  0.9843  0.7185  0.9686  1 Pa 2.21, 2 Ca 2.43

## Properties
formation energy without anion corrections = -1234 kJ/mol of formula units
SG = C2/m (12)

***

Record 5
Here is crystalline CaTm2PaN4 at its relaxed geometry from Alexandria. Energies are from PBE-GGA.

abc: 3.4721 5.9326 5.9523
angles: 108.48 90.00 90.00
Last column: nearest neighbours and their distance in Å.
Element x y z (fractional)
N  0.0000  0.2240  0.7506  1 Pa 2.28, 3 Tm 2.40-2.54, 2 Ca 2.52
N  0.5000  0.2427  0.2536  3 Tm 2.36-2.47, 2 Pa 2.45, 1 Ca 2.46
N  0.5000  0.7573  0.7464  3 Tm 2.36-2.47, 2 Pa 2.45, 1 Ca 2.46
N  0.0000  0.7760  0.2494  1 Pa 2.28, 3 Tm 2.40-2.54, 2 Ca 2.52
Tm  0.0000  0.5000  0.5000  6 N 2.47-2.54
Tm  0.5000  0.0000  0.5000  6 N 2.36-2.40
Pa  0.0000  0.0000  0.0000  6 N 2.28-2.45
Ca  0.5000  0.5000  0.0000  6 N 2.46-2.52

## Properties
formation energy without anion corrections = -1251 kJ/mol of formula units
SG = P2/m (10)

***

Record 6
Here is crystalline Ca3Tm2PaN6 at its relaxed geometry from Alexandria. Energies are from PBE-GGA.

abc: 6.0195 6.0195 6.0491
angles: 99.52 99.52 120.05
Last column: nearest neighbours and their distance in Å.
Element x y z (fractional)
N  0.7515  0.7515  0.2193  1 Pa 2.30, 2 Tm 2.40, 2 Ca 2.56
N  0.2485  0.2485  0.7807  1 Pa 2.30, 2 Tm 2.40, 2 Ca 2.56
N  0.6041  0.9262  0.7792  1 Pa 2.31, 2 Tm 2.40, 2 Ca 2.54
N  0.3959  0.0738  0.2208  1 Pa 2.31, 2 Tm 2.40, 2 Ca 2.54
N  0.9262  0.6041  0.7792  1 Pa 2.31, 2 Tm 2.40, 2 Ca 2.54
N  0.0738  0.3959  0.2208  1 Pa 2.31, 2 Tm 2.40, 2 Ca 2.54
Pa  0.0000  0.0000  0.0000  6 N 2.30-2.31
Ca  0.8309  0.1691  0.5000  6 N 2.54-2.60
Ca  0.5000  0.5000  0.5000  6 N 2.54-2.62
Ca  0.1691  0.8309  0.5000  6 N 2.54-2.60
Tm  0.6668  0.3332  0.0000  6 N 2.40
Tm  0.3332  0.6668  0.0000  6 N 2.40

## Properties
formation energy without anion corrections = -1633 kJ/mol of formula units
SG = C2/m (12)

***

| no. | theoretical density (Mg/m³) | total moment (μB per cell) |
| --- | --- | --- |
| 1 | 6.78 | 0.00 |
| 2 | 6.28 | 0.00 |
| 3 | 7.16 | 0.00 |
| 4 | 7.60 | 0.00 |
| 5 | 9.50 | 0.00 |
| 6 | 7.17 | 0.91 |